DFT (PBE with a Hubbard U) results for ScCo2TeF after structural relaxation.

Summary:
VASP energy = -4.6043 eV/atom
magnetic moment = 2.97 μB/f.u.
space-group type = P4/mmm (123)

Unit cell a=4.318 b=4.318 c=4.293 alpha=90.00 beta=90.00 gamma=90.00
Element x y z (fractional)
Sc (0.000, 0.000, 0.000)
Co (0.000, 0.500, 0.500)
Co (0.500, 0.000, 0.500)
Te (0.500, 0.500, 0.000)
F (0.000, 0.000, 0.500)